Record 1
Computed, not measured: an optimized crystal structure of SmDy2AlC at the PBE level of DFT.

Cell: 5.0163 4.8892 4.8892 Å, 90.00 90.00 90.00°
Last column: nearest neighbours and their distance in Å.
Element x y z (fractional)
1 Sm 0.5000 0.0000 0.0000  2 C 2.51
2 Dy 0.0000 0.0000 0.5000  2 C 2.44
3 Dy 0.0000 0.5000 0.0000  2 C 2.44
4 Al 0.5000 0.5000 0.5000  4 Sm 3.46, 8 Dy 3.50
5 C 0.0000 0.0000 0.0000  4 Dy 2.44, 2 Sm 2.51

Results
Its total energy is -28.59 eV per cell.

Record 2
Computed, not measured: an optimized crystal structure of Li6Ti2O7 at the PBE level of DFT.

Cell: 5.1390 8.1568 16.2572 Å, 90.00 91.11 90.00°
Last column: nearest neighbours and their distance in Å.
Element x y z (fractional)
1 Li 0.7703 0.5613 0.0567  4 O 1.93-2.08
2 Li 0.7266 0.5683 0.8152  3 O 2.10-2.25
3 Li 0.8005 0.7678 0.9488  4 O 1.93-2.16
4 Li 0.7214 0.7356 0.6778  4 O 1.93-2.06
5 Li 0.8304 0.5582 0.5569  4 O 1.96-2.12
6 Li 0.8588 0.5577 0.3318  4 O 2.01-2.13
7 Li 0.8040 0.7674 0.4288  4 O 2.07-2.26
8 Li 0.8122 0.2777 0.9112  3 O 1.90-2.09
9 Li 0.7738 0.0128 0.3200  4 O 1.98-2.04
10 Li 0.7812 0.7230 0.1924  4 O 2.05-2.07
11 Li 0.7304 0.0233 0.8217  4 O 1.92-2.12
12 Li 0.8227 0.2857 0.4286  3 O 1.94-1.97
13 Li 0.1773 0.7857 0.5714  3 O 1.94-1.97
14 Li 0.2696 0.5233 0.1783  4 O 1.92-2.12
15 Li 0.2188 0.2230 0.8076  4 O 2.05-2.07
16 Li 0.2262 0.5128 0.6800  4 O 1.98-2.04
17 Li 0.1878 0.7777 0.0888  3 O 1.90-2.09
18 Li 0.1960 0.2674 0.5712  4 O 2.07-2.26
19 Li 0.1412 0.0577 0.6682  4 O 2.01-2.13
20 Li 0.1696 0.0582 0.4431  4 O 1.96-2.12
21 Li 0.2786 0.2356 0.3222  4 O 1.93-2.06
22 Li 0.1995 0.2678 0.0512  4 O 1.93-2.16
23 Li 0.2734 0.0683 0.1848  3 O 2.10-2.25
24 Li 0.2297 0.0613 0.9433  4 O 1.93-2.08
25 Ti 0.7036 0.3026 0.6942  4 O 1.79-1.91
26 Ti 0.6742 0.0049 0.5446  4 O 1.79-1.91
27 Ti 0.7311 0.0168 0.0526  4 O 1.81-1.92
28 Ti 0.7890 0.3117 0.2001  4 O 1.80-1.91
29 Ti 0.2110 0.8117 0.7999  4 O 1.80-1.91
30 Ti 0.2689 0.5168 0.9474  4 O 1.81-1.92
31 Ti 0.3258 0.5049 0.4554  4 O 1.79-1.91
32 Ti 0.2964 0.8026 0.3058  4 O 1.79-1.91
33 O 0.0511 0.3897 0.2649  1 Ti 1.81, 2 Li 1.94-2.02
34 O 0.8272 0.0316 0.9463  1 Ti 1.81
35 O 0.8196 0.2500 0.7954  1 Ti 1.79, 2 Li 1.90-1.95
36 O 0.7951 0.7971 0.5579  1 Ti 1.82, 2 Li 1.96-1.97
37 O 0.8291 0.5060 0.6771  1 Ti 1.80, 2 Li 1.95-2.00
38 O 0.8444 0.1704 0.6085  2 Ti 1.91, 2 Li 2.01-2.07
39 O 0.9273 0.1738 0.1166  2 Ti 1.91-1.92, 1 Li 1.93
40 O 0.8018 0.8035 0.0729  1 Ti 1.81, 2 Li 2.00-2.01
41 O 0.7579 0.0498 0.4404  1 Ti 1.79, 2 Li 1.96-1.98
42 O 0.6194 0.5424 0.9389  1 Ti 1.82
43 O 0.6794 0.5037 0.4425  1 Ti 1.83, 2 Li 1.94-2.05
44 O 0.6531 0.7804 0.3088  1 Ti 1.84, 1 Li 2.00
45 O 0.6359 0.4960 0.1618  1 Ti 1.80, 2 Li 1.92-1.93
46 O 0.5710 0.1810 0.2549  1 Ti 1.80, 1 Li 1.93
47 O 0.4290 0.6810 0.7451  1 Ti 1.80, 1 Li 1.93
48 O 0.3641 0.9960 0.8382  1 Ti 1.80, 2 Li 1.92-1.93
49 O 0.3469 0.2804 0.6912  1 Ti 1.84, 1 Li 2.00
50 O 0.3206 0.0037 0.5575  1 Ti 1.83, 2 Li 1.94-2.05
51 O 0.3806 0.0424 0.0611  1 Ti 1.82
52 O 0.2421 0.5498 0.5596  1 Ti 1.79, 2 Li 1.96-1.98
53 O 0.1982 0.3035 0.9271  1 Ti 1.81, 2 Li 2.00-2.01
54 O 0.0727 0.6738 0.8834  2 Ti 1.91-1.92, 1 Li 1.93
55 O 0.1556 0.6704 0.3915  2 Ti 1.91, 2 Li 2.01-2.07
56 O 0.1709 0.0060 0.3229  1 Ti 1.80, 2 Li 1.95-2.00
57 O 0.2049 0.2971 0.4421  1 Ti 1.82, 2 Li 1.96-1.97
58 O 0.1804 0.7500 0.2046  1 Ti 1.79, 2 Li 1.90-1.95
59 O 0.1727 0.5316 0.0537  1 Ti 1.81
60 O 0.9489 0.8897 0.7351  1 Ti 1.81, 2 Li 1.94-2.02

Results
The polymorph energy (0 for the lowest one) comes out at 0.053 eV per atom. Its uncorrected formation energy is -2.425 eV/atom.

Record 3
Computed, not measured: an optimized crystal structure of Sm2DySn at the PBE level of DFT.

Cell: 4.9023 4.8474 4.8474 Å, 90.00 90.00 90.00°
Last column: nearest neighbours and their distance in Å.
Element x y z (fractional)
1 Sn 0.5000 0.0000 0.0000  4 Dy 3.43, 8 Sm 3.45
2 Sm 0.0000 0.0000 0.5000  4 Sm 3.43, 4 Sn 3.45, 4 Dy 3.45
3 Sm 0.0000 0.5000 0.0000  4 Sm 3.43, 4 Dy 3.45, 4 Sn 3.45
4 Dy 0.5000 0.5000 0.5000  4 Sn 3.43, 8 Sm 3.45

Results
The polymorph energy (0 for the lowest one) comes out at 0.000 eV per atom.

Record 4
Computed, not measured: an optimized crystal structure of Ac6TeIr2Rh3 at the PBE level of DFT.

Cell: 4.3533 8.8971 9.7999 Å, 103.21 102.83 90.00°
Last column: nearest neighbours and their distance in Å.
Element x y z (fractional)
1 Ac 0.3221 0.9052 0.6443  3 Rh 3.00-3.18, 2 Ir 3.08, 1 Te 3.30
2 Ac 0.6707 0.5798 0.3413  3 Ir 3.04-3.09, 3 Rh 3.14-3.17
3 Ac 0.6779 0.0948 0.3557  3 Rh 3.00-3.18, 2 Ir 3.08, 1 Te 3.30
4 Ac 0.0024 0.2775 0.0048  3 Rh 2.95-3.04, 1 Ir 3.04, 2 Te 3.28
5 Ac 0.9976 0.7225 0.9952  3 Rh 2.95-3.04, 1 Ir 3.04, 2 Te 3.28
6 Ac 0.3293 0.4202 0.6587  3 Ir 3.04-3.09, 3 Rh 3.14-3.17
7 Te 0.5000 0.0000 0.0000  6 Ac 3.28-3.30
8 Ir 0.8345 0.6686 0.6689  6 Ac 3.04-3.09
9 Ir 0.1655 0.3314 0.3311  6 Ac 3.04-3.09
10 Rh 0.5000 0.5000 0.0000  6 Ac 2.95-3.17
11 Rh 0.8393 0.1715 0.6787  6 Ac 3.00-3.18
12 Rh 0.1607 0.8285 0.3213  6 Ac 3.00-3.18

Results
Its uncorrected formation energy is -0.670 eV/atom.

Record 5
Computed, not measured: an optimized crystal structure of KVB2 at the PBE level of DFT.

Cell: 5.0278 5.0278 7.4832 Å, 70.37 70.37 90.00°
Last column: nearest neighbours and their distance in Å.
Element x y z (fractional)
1 K 0.5000 0.5000 0.0000  8 B 3.26, 4 V 3.56
2 K 0.2500 0.7500 0.5000  8 B 3.26, 4 V 3.56
3 B 0.8746 0.1250 0.2500  2 V 2.07
4 B 0.8754 0.6250 0.2500  2 V 2.07
5 B 0.3750 0.1254 0.7500  2 V 2.07
6 B 0.8750 0.1246 0.7500  2 V 2.07
7 V 0.0000 0.0000 0.0000  4 B 2.07
8 V 0.7500 0.2500 0.5000  4 B 2.07

Results
The polymorph energy (0 for the lowest one) comes out at 0.000 eV per atom.

Record 6
Computed, not measured: an optimized crystal structure of BaSi2IrRu at the PBE level of DFT.

Cell: 4.2298 4.2298 6.4752 Å, 109.06 109.06 90.00°
Last column: nearest neighbours and their distance in Å.
Element x y z (fractional)
1 Ba 0.0000 0.0000 0.0000  8 Si 3.48, 4 Ru 3.57, 4 Ir 3.57
2 Si 0.6548 0.6548 0.3095  2 Ru 2.38, 2 Ir 2.38
3 Si 0.3452 0.3452 0.6905  2 Ru 2.38, 2 Ir 2.38
4 Ir 0.7500 0.2500 0.5000  4 Si 2.38
5 Ru 0.2500 0.7500 0.5000  4 Si 2.38

Results
Its uncorrected formation energy is -0.729 eV/atom.

Result set for spin magnetization: 0.00 0.00 0.00 0.00 0.00 0.00 μB/atom, one per record in the order listed.